Here is a relaxed AcPmPaSb crystal from Alexandria. Energies are from PBE-GGA.

For the formation energy from raw total energies, the calculation gives 48 meV per atom.

The space group is F-43m (No. 216) and the conventional cell measures 7.8505, 7.8505 and 7.8505 Å, with angles of 90.00, 90.00 and 90.00 degrees. The distinct sites, in fractional coordinates, are Ac at (0.0000, 0.0000, 0.0000), Pm at (0.2500, 0.2500, 0.7500), Pa at (0.2500, 0.2500, 0.2500) and Sb at (0.0000, 0.0000, 0.5000).



Here is a relaxed AcPmPaSn crystal from Alexandria. Energies are from PBE-GGA.

The calculation puts the formation energy from the elements at 144 meV per atom.

The space group is F-43m (No. 216) and the conventional cell measures 7.9128, 7.9128 and 7.9128 Å, with angles of 90.00, 90.00 and 90.00 degrees. The distinct sites, in fractional coordinates, are Ac at (0.0000, 0.0000, 0.0000), Pm at (0.0000, 0.0000, 0.5000), Pa at (0.2500, 0.2500, 0.2500) and Sn at (0.2500, 0.2500, 0.7500).



Number 1: final energy -5.571 eV/atom. Number 2: final energy -5.445 eV/atom.